Below is a geometry-optimized ScVZnO4 structure, with properties calculated at the GGA+U level.

Unit cell a=6.1369 b=6.2143 c=8.6210 alpha=90.00 beta=90.00 gamma=90.00
Last column: nearest neighbours and their distance in Å.
Space group Imma (No. 74)
Symmetry-distinct sites (fractional):
Sc (0.0000, 0.0000, 0.0000) [4 per cell]  6 O 2.11-2.12
V (0.2500, 0.2500, 0.2500) [4 per cell]  6 O 2.04-2.09
Zn (0.0000, 0.2500, 0.6235) [4 per cell]  4 O 2.02-2.04
O (0.0000, 0.0220, 0.2444) [8 per cell]  1 Zn 2.04, 2 V 2.09, 1 Sc 2.11
O (0.2336, 0.2500, 0.0142) [8 per cell]  1 Zn 2.02, 1 V 2.04, 2 Sc 2.12

Values from the calculation:
E   -7.399 eV/atom